(1)
The following is a DFT calculation (PBE-GGA) of a relaxed structure of SmHoGa6.

Cell lengths 6.3047, 6.3047, 4.5964 Å; angles 90.00, 90.00, 120.00 degrees
Fractional positions:
Sm1 0.0000 0.0000 0.0000
Ho1 0.6667 0.3333 0.5000
Ga1 0.0389 0.5194 0.0000
Ga2 0.1884 0.3768 0.5000
Ga3 0.1884 0.8116 0.5000
Ga4 0.4806 0.5194 0.0000
Ga5 0.4806 0.9611 0.0000
Ga6 0.6232 0.8116 0.5000

Summary:
* energy relative to the elements: -0.542 eV per atom

(2)
The following is a DFT calculation (PBE-GGA) of a relaxed structure of ZrSc3Ru.

Cell lengths 5.7996, 9.2290, 8.0822 Å; angles 90.00, 90.00, 90.00 degrees
Fractional positions:
Zr1 0.2236 0.2500 0.1409
Zr2 0.2764 0.7500 0.6409
Zr3 0.7236 0.2500 0.3591
Zr4 0.7764 0.7500 0.8591
Sc1 0.1138 0.0295 0.8357
Sc2 0.1138 0.4705 0.8357
Sc3 0.2132 0.2500 0.5381
Sc4 0.2868 0.7500 0.0381
Sc5 0.3862 0.5295 0.3357
Sc6 0.3862 0.9705 0.3357
Sc7 0.6138 0.0295 0.6643
Sc8 0.6138 0.4705 0.6643
Sc9 0.7132 0.2500 0.9619
Sc10 0.7868 0.7500 0.4619
Sc11 0.8862 0.5295 0.1643
Sc12 0.8862 0.9705 0.1643
Ru1 0.0000 0.0000 0.5000
Ru2 0.0000 0.5000 0.5000
Ru3 0.5000 0.0000 0.0000
Ru4 0.5000 0.5000 0.0000

Summary:
* polymorph energy (0 for the lowest one): 41 meV per atom
* energy relative to the elements: -0.236 eV per atom

(3)
The following is a DFT calculation (PBE-GGA) of a relaxed structure of Re2NiOs.

Cell lengths 4.6513, 4.6513, 4.6931 Å; angles 99.13, 99.13, 34.02 degrees
Fractional positions:
Re1 0.0000 0.0000 0.0000
Re2 0.2489 0.2489 0.7265
Ni1 0.4998 0.4998 0.4949
Os1 0.7460 0.7460 0.2373

Summary:
* polymorph energy (0 for the lowest one): 144 meV per atom
* energy relative to the elements: 0.086 eV per atom

(4)
The following is a DFT calculation (PBE-GGA) of a relaxed structure of Hf2CoHg.

Cell lengths 3.1602, 3.1602, 7.4006 Å; angles 90.00, 90.00, 90.00 degrees
Fractional positions:
Hf1 0.0000 0.0000 0.2087
Hf2 0.0000 0.0000 0.7913
Co1 0.5000 0.5000 0.0000
Hg1 0.5000 0.5000 0.5000

Summary:
* energy relative to the elements: -0.189 eV per atom

Please write out number 1 again, unchanged.
The following is a DFT calculation (PBE-GGA) of a relaxed structure of SmHoGa6.

Cell lengths 6.3047, 6.3047, 4.5964 Å; angles 90.00, 90.00, 120.00 degrees
Fractional positions:
Sm1 0.0000 0.0000 0.0000
Ho1 0.6667 0.3333 0.5000
Ga1 0.0389 0.5194 0.0000
Ga2 0.1884 0.3768 0.5000
Ga3 0.1884 0.8116 0.5000
Ga4 0.4806 0.5194 0.0000
Ga5 0.4806 0.9611 0.0000
Ga6 0.6232 0.8116 0.5000

Summary:
* energy relative to the elements: -0.542 eV per atom

Copy entry 4 word for word.
The following is a DFT calculation (PBE-GGA) of a relaxed structure of Hf2CoHg.

Cell lengths 3.1602, 3.1602, 7.4006 Å; angles 90.00, 90.00, 90.00 degrees
Fractional positions:
Hf1 0.0000 0.0000 0.2087
Hf2 0.0000 0.0000 0.7913
Co1 0.5000 0.5000 0.0000
Hg1 0.5000 0.5000 0.5000

Summary:
* energy relative to the elements: -0.189 eV per atom

Q: The highest energy relative to the elements belongs to which entry?
A: Re2NiOs